Entry from Alexandria: an optimized crystal structure of La2TlPt (PBEsol).

Results
**ΔH_f (0 K)**: -0.600 eV per atom
**Energy**: -5.671 eV per atom

a b c (Å): 7.514 7.514 7.514
angles (deg): 90.00 90.00 90.00
Fractional coordinates of all 16 atoms:
La 0.250 0.250 0.250
La 0.250 0.250 0.750
La 0.250 0.750 0.250
La 0.250 0.750 0.750
La 0.750 0.250 0.250
La 0.750 0.250 0.750
La 0.750 0.750 0.250
La 0.750 0.750 0.750
Tl 0.000 0.000 0.000
Tl 0.000 0.500 0.500
Tl 0.500 0.000 0.500
Tl 0.500 0.500 0.000
Pt 0.000 0.000 0.500
Pt 0.000 0.500 0.000
Pt 0.500 0.000 0.000
Pt 0.500 0.500 0.500

=====

Entry from Alexandria: an optimized crystal structure of Li4Ti15O32 (PBEsol).

Results
**Energy**: -8.776 eV per atom
**Energy relative to the elements, uncorrected**: -2.88 eV per atom

a b c (Å): 19.462 19.462 19.462
angles (deg): 17.46 17.46 17.46
Fractional coordinates of all 51 atoms:
Li 0.094 0.094 0.094
Li 0.156 0.156 0.156
Li 0.844 0.844 0.844
Li 0.906 0.906 0.906
Ti 0.000 0.000 0.000
Ti 0.127 0.127 0.621
Ti 0.127 0.621 0.127
Ti 0.139 0.621 0.621
Ti 0.249 0.249 0.249
Ti 0.379 0.379 0.861
Ti 0.379 0.861 0.379
Ti 0.379 0.873 0.873
Ti 0.621 0.127 0.127
Ti 0.621 0.139 0.621
Ti 0.621 0.621 0.139
Ti 0.751 0.751 0.751
Ti 0.861 0.379 0.379
Ti 0.873 0.379 0.873
Ti 0.873 0.873 0.379
O 0.021 0.581 0.581
O 0.060 0.060 0.060
O 0.081 0.081 0.523
O 0.081 0.523 0.081
O 0.168 0.168 0.731
O 0.168 0.731 0.168
O 0.190 0.190 0.190
O 0.202 0.686 0.686
O 0.269 0.832 0.832
O 0.309 0.309 0.309
O 0.314 0.314 0.798
O 0.314 0.798 0.314
O 0.419 0.419 0.979
O 0.419 0.979 0.419
O 0.442 0.442 0.442
O 0.477 0.919 0.919
O 0.523 0.081 0.081
O 0.558 0.558 0.558
O 0.581 0.021 0.581
O 0.581 0.581 0.021
O 0.686 0.202 0.686
O 0.686 0.686 0.202
O 0.691 0.691 0.691
O 0.731 0.168 0.168
O 0.798 0.314 0.314
O 0.810 0.810 0.810
O 0.832 0.269 0.832
O 0.832 0.832 0.269
O 0.919 0.477 0.919
O 0.919 0.919 0.477
O 0.940 0.940 0.940
O 0.979 0.419 0.419

=====

Entry from Alexandria: an optimized crystal structure of BiSeI2 (PBEsol).

Results
**Energy**: -2.694 eV per atom
**Energy relative to the elements, uncorrected**: 0.22 eV per atom

a b c (Å): 7.643 7.643 7.643
angles (deg): 90.00 90.00 90.00
Fractional coordinates of all 16 atoms:
Bi 0.000 0.000 0.000
Bi 0.000 0.500 0.500
Bi 0.500 0.000 0.500
Bi 0.500 0.500 0.000
Se 0.000 0.000 0.500
Se 0.000 0.500 0.000
Se 0.500 0.000 0.000
Se 0.500 0.500 0.500
I 0.250 0.250 0.250
I 0.250 0.250 0.750
I 0.250 0.750 0.250
I 0.250 0.750 0.750
I 0.750 0.250 0.250
I 0.750 0.250 0.750
I 0.750 0.750 0.250
I 0.750 0.750 0.750

=====

Entry from Alexandria: an optimized crystal structure of RePPb2 (PBEsol).

Results
**ΔH_f (0 K)**: 0.115 eV per atom
**Energy**: -6.665 eV per atom

a b c (Å): 3.164 3.164 8.274
angles (deg): 90.00 90.00 90.00
Fractional coordinates of all 4 atoms:
Re 0.000 0.000 0.000
P 0.500 0.500 0.115
Pb 0.000 0.000 0.373
Pb 0.500 0.500 0.736

=====

Entry from Alexandria: an optimized crystal structure of CdHSe3 (PBEsol).

Results
**Energy**: -2.118 eV per atom

a b c (Å): 5.189 5.189 5.189
angles (deg): 90.00 90.00 90.00
Fractional coordinates of all 5 atoms:
Cd 0.000 0.000 0.000
H 0.500 0.500 0.500
Se 0.000 0.000 0.500
Se 0.000 0.500 0.000
Se 0.500 0.000 0.000

=====

Entry from Alexandria: an optimized crystal structure of HfNbTeI2 (PBEsol).

Results
**Energy**: -4.864 eV per atom
**Energy relative to the elements, uncorrected**: 0.81 eV per atom

a b c (Å): 5.329 5.329 5.593
angles (deg): 90.00 90.00 90.00
Fractional coordinates of all 5 atoms:
Hf 0.000 0.000 0.000
Nb 0.000 0.000 0.500
Te 0.500 0.500 0.500
I 0.000 0.500 0.000
I 0.500 0.000 0.000

=====

Entry from Alexandria: an optimized crystal structure of YSiHg3 (PBEsol).

Results
**Energy**: -2.740 eV per atom
**Energy relative to the elements, uncorrected**: 0.11 eV per atom

a b c (Å): 4.956 4.956 4.956
angles (deg): 90.00 90.00 90.00
Fractional coordinates of all 5 atoms:
Y 0.000 0.000 0.000
Si 0.500 0.500 0.500
Hg 0.000 0.500 0.500
Hg 0.500 0.000 0.500
Hg 0.500 0.500 0.000

=====

Entry from Alexandria: an optimized crystal structure of Na2InC (PBEsol).

Results
**ΔH_f (0 K)**: 1.193 eV per atom
**Energy**: -2.663 eV per atom

a b c (Å): 3.823 3.823 20.017
angles (deg): 90.00 90.00 90.00
Fractional coordinates of all 16 atoms:
Na 0.211 0.250 0.125
Na 0.250 0.711 0.375
Na 0.250 0.789 0.875
Na 0.289 0.250 0.625
Na 0.711 0.750 0.625
Na 0.750 0.211 0.875
Na 0.750 0.289 0.375
Na 0.789 0.750 0.125
In 0.000 0.000 0.500
In 0.000 0.500 0.750
In 0.500 0.000 0.250
In 0.500 0.500 0.000
C 0.000 0.000 0.000
C 0.000 0.500 0.250
C 0.500 0.000 0.750
C 0.500 0.500 0.500